[1]
A relaxed structure of Tl2CdI2, computed with GGA-PBE.

Cell: 9.274 9.274 4.610 Å, 90.00 90.00 90.00°
Positions (direct):
Tl (0.145, 0.355, 0.000)
Tl (0.355, 0.855, 0.000)
Tl (0.645, 0.145, 0.000)
Tl (0.855, 0.645, 0.000)
Cd (0.000, 0.000, 0.000)
Cd (0.500, 0.500, 0.000)
I (0.160, 0.660, 0.500)
I (0.340, 0.160, 0.500)
I (0.660, 0.840, 0.500)
I (0.840, 0.340, 0.500)

Results
- Space group: P4/mbm
- Formation energy without anion corrections: -2.0 eV/f.u.

[2]
A relaxed structure of ZrGaIrPt, computed with GGA-PBE.

Cell: 4.565 4.565 4.565 Å, 60.00 60.00 60.00°
Positions (direct):
Zr (0.000, 0.000, 0.000)
Ga (0.500, 0.500, 0.500)
Ir (0.250, 0.250, 0.250)
Pt (0.750, 0.750, 0.750)

Results
- ΔE_f: -701 meV/atom
- Space group: F-43m

[3]
A relaxed structure of Ho5Te5C2, computed with GGA-PBE.

Cell: 7.389 7.389 10.854 Å, 99.13 99.13 31.41°
Positions (direct):
Ho (0.000, 0.000, 0.000)
Ho (0.093, 0.093, 0.329)
Ho (0.366, 0.366, 0.207)
Ho (0.634, 0.634, 0.793)
Ho (0.907, 0.907, 0.671)
Te (0.233, 0.233, 0.613)
Te (0.339, 0.339, 0.908)
Te (0.500, 0.500, 0.500)
Te (0.661, 0.661, 0.092)
Te (0.767, 0.767, 0.387)
C (0.049, 0.049, 0.806)
C (0.951, 0.951, 0.194)

Results
- Space group: C2/m
- Formation energy without anion corrections: -9.0 eV/f.u.

[4]
A relaxed structure of Zr2TlSe, computed with GGA-PBE.

Cell: 5.326 5.326 5.326 Å, 136.59 118.74 78.04°
Positions (direct):
Zr (0.216, 0.216, 0.000)
Zr (0.784, 0.784, 0.000)
Tl (0.500, 0.000, 0.500)
Se (0.000, 0.500, 0.500)

Results
- Space group: Immm
- Formation energy without anion corrections: -1.6 eV/f.u.

[5]
A relaxed structure of MgH3Rh, computed with GGA-PBE.

Cell: 5.951 5.951 5.448 Å, 104.72 104.72 81.33°
Positions (direct):
Mg (0.087, 0.345, 0.241)
Mg (0.345, 0.087, 0.741)
Mg (0.655, 0.913, 0.259)
Mg (0.913, 0.655, 0.759)
H (0.062, 0.192, 0.876)
H (0.157, 0.710, 0.530)
H (0.192, 0.062, 0.376)
H (0.290, 0.843, 0.970)
H (0.314, 0.502, 0.046)
H (0.498, 0.686, 0.454)
H (0.502, 0.314, 0.546)
H (0.686, 0.498, 0.954)
H (0.710, 0.157, 0.030)
H (0.808, 0.938, 0.624)
H (0.843, 0.290, 0.470)
H (0.938, 0.808, 0.124)
Rh (0.233, 0.767, 0.250)
Rh (0.393, 0.607, 0.750)
Rh (0.607, 0.393, 0.250)
Rh (0.767, 0.233, 0.750)

Results
- Space group: C2/c
- Uncorrected energy: -4.01 eV per atom

[6]
A relaxed structure of Ac3Hg5Bi, computed with GGA-PBE.

Cell: 9.681 9.681 6.885 Å, 90.00 90.00 120.00°
Positions (direct):
Ac (0.000, 0.326, 0.250)
Ac (0.000, 0.674, 0.750)
Ac (0.326, 0.000, 0.250)
Ac (0.326, 0.326, 0.750)
Ac (0.674, 0.000, 0.750)
Ac (0.674, 0.674, 0.250)
Hg (0.000, 0.347, 0.750)
Hg (0.000, 0.653, 0.250)
Hg (0.333, 0.667, 0.000)
Hg (0.333, 0.667, 0.500)
Hg (0.347, 0.000, 0.750)
Hg (0.347, 0.347, 0.250)
Hg (0.653, 0.000, 0.250)
Hg (0.653, 0.653, 0.750)
Hg (0.667, 0.333, 0.000)
Hg (0.667, 0.333, 0.500)
Bi (0.000, 0.000, 0.000)
Bi (0.000, 0.000, 0.500)

Results
- ΔE_f: -494 meV/atom
- Space group: P6_3/mcm

[7]
A relaxed structure of Tb2NdSmTm5, computed with GGA-PBE.

Cell: 9.699 9.699 9.699 Å, 126.23 126.23 79.51°
Positions (direct):
Tb (0.115, 0.615, 0.730)
Tb (0.385, 0.115, 0.500)
Tb (0.615, 0.885, 0.500)
Tb (0.885, 0.385, 0.270)
Nd (0.250, 0.250, 0.000)
Nd (0.750, 0.750, 0.000)
Sm (0.250, 0.750, 0.500)
Sm (0.750, 0.250, 0.500)
Tm (0.000, 0.000, 0.000)
Tm (0.072, 0.161, 0.500)
Tm (0.161, 0.661, 0.088)
Tm (0.339, 0.428, 0.500)
Tm (0.428, 0.928, 0.088)
Tm (0.500, 0.500, 0.000)
Tm (0.572, 0.072, 0.912)
Tm (0.661, 0.572, 0.500)
Tm (0.839, 0.339, 0.912)
Tm (0.928, 0.839, 0.500)

Results
- ΔE_f: 275 meV/atom
- Space group: I4/mcm

[8]
A relaxed structure of Zn2TcMo, computed with GGA-PBE.

Cell: 4.337 4.337 4.337 Å, 60.00 60.00 60.00°
Positions (direct):
Zn (0.250, 0.250, 0.250)
Zn (0.750, 0.750, 0.750)
Tc (0.000, 0.000, 0.000)
Mo (0.500, 0.500, 0.500)

Results
- ΔE_f: 342 meV/atom
- Space group: Fm-3m

[9]
A relaxed structure of InSiH2, computed with GGA-PBE.

Cell: 4.074 4.074 4.074 Å, 60.00 60.00 60.00°
Positions (direct):
In (0.000, 0.000, 0.000)
Si (0.500, 0.500, 0.500)
H (0.250, 0.250, 0.250)
H (0.750, 0.750, 0.750)

Results
- Space group: Fm-3m
- Uncorrected energy: -2.89 eV per atom

[10]
A relaxed structure of LiH6Pd7, computed with GGA-PBE.

Cell: 4.985 4.994 5.789 Å, 90.14 106.79 99.36°
Positions (direct):
Li (0.000, 0.000, 0.000)
H (0.230, 0.839, 0.348)
H (0.234, 0.435, 0.063)
H (0.263, 0.360, 0.563)
H (0.284, 0.839, 0.818)
H (0.700, 0.130, 0.175)
H (0.719, 0.126, 0.656)
Pd (0.002, 0.008, 0.500)
Pd (0.011, 0.512, 0.753)
Pd (0.501, 0.764, 0.127)
Pd (0.502, 0.266, 0.374)
Pd (0.513, 0.761, 0.628)
Pd (0.514, 0.259, 0.875)
Pd (0.999, 0.509, 0.249)

Results
- Space group: P1
- Uncorrected energy: -4.34 eV per atom

[11]
A relaxed structure of KCuHg2Ge, computed with GGA-PBE.

Cell: 5.263 5.263 4.774 Å, 90.00 90.00 90.00°
Positions (direct):
K (0.000, 0.000, 0.000)
Cu (0.500, 0.500, 0.500)
Hg (0.000, 0.500, 0.500)
Hg (0.500, 0.000, 0.500)
Ge (0.500, 0.500, 0.000)

Results
- ΔE_f: 43 meV/atom
- Space group: P4/mmm

[12]
A relaxed structure of ScAl2Cu2, computed with GGA-PBE.

Cell: 7.424 7.424 2.780 Å, 90.00 90.00 90.00°
Positions (direct):
Sc (0.000, 0.000, 0.000)
Sc (0.500, 0.500, 0.000)
Al (0.168, 0.332, 0.500)
Al (0.332, 0.832, 0.500)
Al (0.668, 0.168, 0.500)
Al (0.832, 0.668, 0.500)
Cu (0.126, 0.626, 0.000)
Cu (0.374, 0.126, 0.000)
Cu (0.626, 0.874, 0.000)
Cu (0.874, 0.374, 0.000)

Results
- ΔE_f: -254 meV/atom
- Space group: P4/mbm